CeSbCl | PBE-GGA | relaxed

Output
DOS at the Fermi energy: 12.48 states/eV per cell
E above lowest polymorph: 0.000 eV per atom
Energy: -5.223 eV per atom
E_form (uncorrected): -1.255 eV per atom

The structure in CIF format:
```
data_CeSbCl
_chemical_formula_sum 'Ce4 Sb4 Cl4'
_cell_length_a 4.5096
_cell_length_b 5.8607
_cell_length_c 14.5833
_cell_angle_alpha 90.00
_cell_angle_beta 90.00
_cell_angle_gamma 90.00
_symmetry_space_group_name_H-M 'P 1'
_symmetry_Int_Tables_number 1
_symmetry_space_group_name_Hall 'P 1'
loop_
_atom_site_label
_atom_site_type_symbol
_atom_site_fract_x
_atom_site_fract_y
_atom_site_fract_z
Ce1 Ce 0.2500 0.0549 0.6422
Ce2 Ce 0.7500 0.5549 0.8578
Ce3 Ce 0.2500 0.4451 0.1422
Ce4 Ce 0.7500 0.9451 0.3578
Sb1 Sb 0.2500 0.5553 0.7095
Sb2 Sb 0.7500 0.4447 0.2905
Sb3 Sb 0.2500 0.9447 0.2095
Sb4 Sb 0.7500 0.0553 0.7905
Cl1 Cl 0.2500 0.7008 0.9674
Cl2 Cl 0.2500 0.7992 0.4674
Cl3 Cl 0.7500 0.2008 0.5326
Cl4 Cl 0.7500 0.2992 0.0326
```